MnIn4Os PBE optimized geometry; total magnetic moment = 4.96 μB per formula unit; formation enthalpy at 0 K = 984 meV/atom; V = 129.8 Å³/f.u.; crystal system = cubic
1.0
0.000 4.018 4.018
4.018 0.000 4.018
4.018 4.018 0.000
Mn In Os
1 4 1
Direct
0.000 0.000 0.000 Mn
0.375 0.375 0.375 In
0.375 0.375 0.874 In
0.375 0.874 0.375 In
0.874 0.375 0.375 In
0.750 0.750 0.750 Os

***

Tm2Th3Sc2 PBE optimized geometry; total magnetic moment = 0.00 μB per formula unit; formation enthalpy at 0 K = 74 meV/atom; V = 206.5 Å³/f.u.; crystal system = orthorhombic
1.0
5.147 0.000 0.000
0.000 23.430 0.000
0.000 0.000 3.425
Tm Th Sc
4 6 4
Direct
0.000 0.211 0.000 Tm
0.000 0.789 0.000 Tm
0.500 0.289 0.000 Tm
0.500 0.711 0.000 Tm
0.000 0.354 0.500 Th
0.000 0.500 0.500 Th
0.000 0.646 0.500 Th
0.500 0.000 0.500 Th
0.500 0.146 0.500 Th
0.500 0.854 0.500 Th
0.000 0.071 0.000 Sc
0.000 0.929 0.000 Sc
0.500 0.429 0.000 Sc
0.500 0.571 0.000 Sc

***

NaLi2PO4 PBE optimized geometry; formation energy without anion corrections = -2.329 eV/atom; total magnetic moment = 0.00 μB per formula unit; V = 86.4 Å³/f.u.; crystal system = tetragonal
1.0
4.892 0.000 0.000
0.000 4.892 0.000
0.000 0.000 7.224
Na Li P O
2 4 2 8
Direct
0.000 0.000 0.000 Na
0.500 0.500 0.500 Na
0.000 0.500 0.250 Li
0.000 0.500 0.750 Li
0.500 0.000 0.250 Li
0.500 0.000 0.750 Li
0.000 0.000 0.500 P
0.500 0.500 0.000 P
0.185 0.185 0.376 O
0.185 0.815 0.624 O
0.315 0.315 0.876 O
0.315 0.685 0.124 O
0.685 0.315 0.124 O
0.685 0.685 0.876 O
0.815 0.185 0.624 O
0.815 0.815 0.376 O

***

Cs2HoIr3O12 PBE optimized geometry; formation energy without anion corrections = -1.217 eV/atom; total magnetic moment = 4.52 μB per formula unit; V = 296.8 Å³/f.u.; crystal system = trigonal
1.0
3.662 2.114 6.387
-3.662 2.114 6.387
0.000 -4.229 6.387
Cs Ho Ir O
2 1 3 12
Direct
0.116 0.116 0.116 Cs
0.884 0.884 0.884 Cs
0.500 0.500 0.500 Ho
0.000 0.500 0.500 Ir
0.500 0.000 0.500 Ir
0.500 0.500 0.000 Ir
0.149 0.571 0.571 O
0.188 0.188 0.582 O
0.188 0.582 0.188 O
0.418 0.812 0.812 O
0.429 0.429 0.851 O
0.429 0.851 0.429 O
0.571 0.149 0.571 O
0.571 0.571 0.149 O
0.582 0.188 0.188 O
0.812 0.418 0.812 O
0.812 0.812 0.418 O
0.851 0.429 0.429 O

***

KAg12Sn6 PBE optimized geometry; total magnetic moment = 0.00 μB per formula unit; formation enthalpy at 0 K = 81 meV/atom; V = 440.8 Å³/f.u.; crystal system = trigonal
1.0
6.259 3.614 3.248
-6.259 3.614 3.248
0.000 -7.227 3.248
K Ag Sn
1 12 6
Direct
0.000 0.000 0.000 K
0.110 0.500 0.890 Ag
0.110 0.890 0.500 Ag
0.131 0.373 0.373 Ag
0.373 0.131 0.373 Ag
0.373 0.373 0.131 Ag
0.500 0.110 0.890 Ag
0.500 0.890 0.110 Ag
0.627 0.627 0.869 Ag
0.627 0.869 0.627 Ag
0.869 0.627 0.627 Ag
0.890 0.110 0.500 Ag
0.890 0.500 0.110 Ag
0.287 0.287 0.702 Sn
0.287 0.702 0.287 Sn
0.298 0.713 0.713 Sn
0.702 0.287 0.287 Sn
0.713 0.298 0.713 Sn
0.713 0.713 0.298 Sn

***

As2OsSe PBE optimized geometry; formation energy without anion corrections = 0.564 eV/atom; total magnetic moment = 0.00 μB per formula unit; V = 73.5 Å³/f.u.; crystal system = orthorhombic
1.0
2.946 0.000 0.000
0.000 4.971 0.000
0.000 0.000 10.040
As Os Se
4 2 2
Direct
0.000 0.000 0.000 As
0.000 0.500 0.290 As
0.500 0.000 0.290 As
0.500 0.500 0.000 As
0.000 0.500 0.791 Os
0.500 0.000 0.791 Os
0.000 0.000 0.579 Se
0.500 0.500 0.579 Se

***

MgFe3Pd PBE optimized geometry; total magnetic moment = 9.55 μB per formula unit; formation enthalpy at 0 K = 1031 meV/atom; V = 101.2 Å³/f.u.; crystal system = cubic
1.0
4.661 0.000 0.000
0.000 4.661 0.000
0.000 0.000 4.661
Mg Fe Pd
1 3 1
Direct
0.000 0.000 0.000 Mg
0.000 0.500 0.500 Fe
0.500 0.000 0.500 Fe
0.500 0.500 0.000 Fe
0.500 0.500 0.500 Pd

***

LiGaC PBE optimized geometry; total magnetic moment = 0.00 μB per formula unit; formation enthalpy at 0 K = 263 meV/atom; V = 32.2 Å³/f.u.; crystal system = orthorhombic
1.0
6.117 0.000 0.000
0.000 3.493 0.000
0.000 0.000 6.028
Li Ga C
4 4 4
Direct
0.043 0.250 0.164 Li
0.457 0.750 0.664 Li
0.543 0.250 0.336 Li
0.957 0.750 0.836 Li
0.158 0.250 0.586 Ga
0.342 0.750 0.086 Ga
0.658 0.250 0.914 Ga
0.842 0.750 0.414 Ga
0.204 0.750 0.399 C
0.296 0.250 0.899 C
0.704 0.750 0.101 C
0.796 0.250 0.601 C

***

ErCd6Hg12 PBE optimized geometry; total magnetic moment = 0.00 μB per formula unit; formation enthalpy at 0 K = -42 meV/atom; V = 492.0 Å³/f.u.; crystal system = trigonal
1.0
6.701 3.869 3.162
-6.701 3.869 3.162
0.000 -7.738 3.162
Er Cd Hg
1 6 12
Direct
0.000 0.000 0.000 Er
0.157 0.263 0.431 Cd
0.263 0.431 0.157 Cd
0.431 0.157 0.263 Cd
0.569 0.843 0.737 Cd
0.737 0.569 0.843 Cd
0.843 0.737 0.569 Cd
0.003 0.154 0.702 Hg
0.154 0.702 0.003 Hg
0.165 0.637 0.479 Hg
0.298 0.997 0.846 Hg
0.363 0.521 0.835 Hg
0.479 0.165 0.637 Hg
0.521 0.835 0.363 Hg
0.637 0.479 0.165 Hg
0.702 0.003 0.154 Hg
0.835 0.363 0.521 Hg
0.846 0.298 0.997 Hg
0.997 0.846 0.298 Hg

***

AcSnPb2 PBE optimized geometry; total magnetic moment = 0.00 μB per formula unit; formation enthalpy at 0 K = -185 meV/atom; V = 132.6 Å³/f.u.; crystal system = trigonal
1.0
5.715 0.000 0.000
-2.858 4.950 0.000
0.000 0.000 14.065
Ac Sn Pb
3 3 6
Direct
0.000 0.000 0.000 Ac
0.333 0.667 0.667 Ac
0.667 0.333 0.333 Ac
0.000 0.000 0.500 Sn
0.333 0.667 0.167 Sn
0.667 0.333 0.833 Sn
0.000 0.000 0.249 Pb
0.000 0.000 0.751 Pb
0.333 0.667 0.417 Pb
0.333 0.667 0.916 Pb
0.667 0.333 0.084 Pb
0.667 0.333 0.583 Pb

***

Tm2NiAu PBE optimized geometry; total magnetic moment = 0.00 μB per formula unit; formation enthalpy at 0 K = -684 meV/atom; V = 85.1 Å³/f.u.; crystal system = monoclinic
1.0
5.536 0.000 0.000
0.000 4.459 0.000
-2.537 0.000 6.898
Tm Ni Au
4 2 2
Direct
0.209 0.250 0.432 Tm
0.230 0.250 0.926 Tm
0.770 0.750 0.074 Tm
0.791 0.750 0.568 Tm
0.337 0.750 0.708 Ni
0.663 0.250 0.292 Ni
0.335 0.750 0.213 Au
0.665 0.250 0.787 Au

***

HgBIO2 PBE optimized geometry; formation energy without anion corrections = 1.163 eV/atom; total magnetic moment = 1.20 μB per formula unit; V = 125.9 Å³/f.u.; crystal system = tetragonal
1.0
4.092 0.000 0.000
0.000 4.092 0.000
0.000 0.000 7.519
Hg B I O
1 1 1 2
Direct
0.000 0.000 0.000 Hg
0.500 0.500 0.500 B
0.000 0.000 0.500 I
0.000 0.500 0.000 O
0.500 0.000 0.000 O

***

AcPr2Ni PBE optimized geometry; total magnetic moment = 0.00 μB per formula unit; formation enthalpy at 0 K = -56 meV/atom; V = 124.2 Å³/f.u.; crystal system = tetragonal
1.0
3.654 0.000 0.000
0.000 3.654 0.000
0.000 0.000 9.297
Ac Pr Ni
1 2 1
Direct
0.000 0.000 0.000 Ac
0.500 0.500 0.324 Pr
0.500 0.500 0.676 Pr
0.000 0.000 0.500 Ni

***

AcDy7Er3 PBE optimized geometry; total magnetic moment = 0.00 μB per formula unit; formation enthalpy at 0 K = 147 meV/atom; V = 363.3 Å³/f.u.; crystal system = monoclinic
1.0
6.990 0.000 0.000
0.000 5.582 0.000
-3.096 0.000 9.312
Ac Dy Er
1 7 3
Direct
0.000 0.000 0.000 Ac
0.000 0.000 0.500 Dy
0.147 0.500 0.789 Dy
0.334 0.500 0.145 Dy
0.435 0.000 0.334 Dy
0.565 0.000 0.666 Dy
0.666 0.500 0.855 Dy
0.853 0.500 0.211 Dy
0.274 0.500 0.493 Er
0.500 0.000 0.000 Er
0.726 0.500 0.507 Er

***

Tb2PmPt PBE optimized geometry; total magnetic moment = 0.00 μB per formula unit; formation enthalpy at 0 K = -582 meV/atom; V = 111.0 Å³/f.u.; crystal system = tetragonal
1.0
3.587 0.000 0.000
0.000 3.587 0.000
0.000 0.000 8.624
Tb Pm Pt
2 1 1
Direct
0.000 0.000 0.191 Tb
0.000 0.000 0.809 Tb
0.500 0.500 0.500 Pm
0.500 0.500 0.000 Pt

***

Nd4Y4Ho3 PBE optimized geometry; total magnetic moment = 0.00 μB per formula unit; formation enthalpy at 0 K = 124 meV/atom; V = 374.9 Å³/f.u.; crystal system = orthorhombic
1.0
-1.809 4.677 11.082
1.809 -4.677 11.082
1.809 4.677 -11.082
Nd Y Ho
4 4 3
Direct
0.036 0.858 0.178 Nd
0.321 0.142 0.178 Nd
0.679 0.858 0.822 Nd
0.964 0.142 0.822 Nd
0.259 0.759 0.500 Y
0.318 0.000 0.318 Y
0.682 0.000 0.682 Y
0.741 0.241 0.500 Y
0.000 0.500 0.500 Ho
0.392 0.392 0.000 Ho
0.608 0.608 0.000 Ho

***

Cd2Br PBE optimized geometry; formation energy without anion corrections = -0.185 eV/atom; total magnetic moment = 0.00 μB per formula unit; V = 87.4 Å³/f.u.; crystal system = orthorhombic
1.0
3.718 0.000 0.000
0.000 4.492 0.000
0.000 0.000 20.941
Cd Br
8 4
Direct
0.000 0.250 0.046 Cd
0.000 0.250 0.196 Cd
0.000 0.750 0.804 Cd
0.000 0.750 0.954 Cd
0.500 0.250 0.304 Cd
0.500 0.250 0.454 Cd
0.500 0.750 0.546 Cd
0.500 0.750 0.696 Cd
0.000 0.250 0.639 Br
0.000 0.750 0.361 Br
0.500 0.250 0.861 Br
0.500 0.750 0.139 Br

***

Re2TcPt PBE optimized geometry; total magnetic moment = 0.00 μB per formula unit; formation enthalpy at 0 K = -26 meV/atom; V = 59.8 Å³/f.u.; crystal system = monoclinic
1.0
9.216 0.000 0.000
0.000 2.764 0.000
-0.862 0.000 4.697
Re Tc Pt
4 2 2
Direct
0.246 0.000 0.238 Re
0.254 0.500 0.762 Re
0.746 0.500 0.238 Re
0.754 0.000 0.762 Re
0.000 0.500 0.000 Tc
0.500 0.000 0.000 Tc
0.000 0.000 0.500 Pt
0.500 0.500 0.500 Pt

***

LiTmTa2N4 PBE optimized geometry; formation energy without anion corrections = -1.291 eV/atom; total magnetic moment = 0.00 μB per formula unit; V = 90.4 Å³/f.u.; crystal system = monoclinic
1.0
5.362 0.000 0.000
0.000 3.144 0.000
-1.772 0.000 5.365
Li Tm Ta N
1 1 2 4
Direct
0.000 0.000 0.000 Li
0.500 0.500 0.000 Tm
0.000 0.500 0.500 Ta
0.500 0.000 0.500 Ta
0.240 0.000 0.731 N
0.261 0.500 0.279 N
0.739 0.500 0.721 N
0.760 0.000 0.269 N

***

KGeCl5 PBE optimized geometry; formation energy without anion corrections = -1.127 eV/atom; total magnetic moment = 0.00 μB per formula unit; V = 242.2 Å³/f.u.; crystal system = orthorhombic
1.0
7.914 0.000 0.000
0.000 9.907 0.000
0.000 0.000 6.178
K Ge Cl
2 2 10
Direct
0.000 0.000 0.000 K
0.500 0.500 0.500 K
0.000 0.500 0.023 Ge
0.500 0.000 0.523 Ge
0.000 0.305 0.200 Cl
0.000 0.500 0.670 Cl
0.000 0.695 0.200 Cl
0.206 0.000 0.529 Cl
0.294 0.500 0.029 Cl
0.500 0.000 0.170 Cl
0.500 0.195 0.700 Cl
0.500 0.805 0.700 Cl
0.706 0.500 0.029 Cl
0.794 0.000 0.529 Cl

***

ZnWBr2 PBE optimized geometry; formation energy without anion corrections = 0.376 eV/atom; total magnetic moment = 0.81 μB per formula unit; V = 93.6 Å³/f.u.; crystal system = orthorhombic
1.0
3.220 0.000 0.000
0.000 5.929 0.000
0.000 0.000 9.805
Zn W Br
2 2 4
Direct
0.000 0.000 0.000 Zn
0.500 0.500 0.000 Zn
0.000 0.500 0.221 W
0.500 0.000 0.221 W
0.000 0.000 0.423 Br
0.000 0.500 0.812 Br
0.500 0.000 0.812 Br
0.500 0.500 0.423 Br

***

Sm3YIn3Te8 PBE optimized geometry; formation energy without anion corrections = -1.022 eV/atom; total magnetic moment = 0.00 μB per formula unit; V = 538.4 Å³/f.u.; crystal system = trigonal
1.0
4.438 2.562 7.892
-4.438 2.562 7.892
0.000 -5.124 7.892
Sm Y In Te
3 1 3 8
Direct
0.000 0.500 0.500 Sm
0.500 0.000 0.500 Sm
0.500 0.500 0.000 Sm
0.000 0.000 0.000 Y
0.000 0.000 0.500 In
0.000 0.500 0.000 In
0.500 0.000 0.000 In
0.241 0.241 0.746 Te
0.241 0.746 0.241 Te
0.254 0.759 0.759 Te
0.256 0.256 0.256 Te
0.744 0.744 0.744 Te
0.746 0.241 0.241 Te
0.759 0.254 0.759 Te
0.759 0.759 0.254 Te

***

SmDy3Bi4 PBE optimized geometry; total magnetic moment = 0.00 μB per formula unit; formation enthalpy at 0 K = -878 meV/atom; V = 256.8 Å³/f.u.; crystal system = cubic
1.0
6.356 0.000 0.000
0.000 6.356 0.000
0.000 0.000 6.356
Sm Dy Bi
1 3 4
Direct
0.000 0.000 0.000 Sm
0.000 0.500 0.500 Dy
0.500 0.000 0.500 Dy
0.500 0.500 0.000 Dy
0.000 0.000 0.500 Bi
0.000 0.500 0.000 Bi
0.500 0.000 0.000 Bi
0.500 0.500 0.500 Bi

***

Cs2Rb6O PBE optimized geometry; formation energy without anion corrections = -0.249 eV/atom; total magnetic moment = 0.00 μB per formula unit; V = 682.9 Å³/f.u.; crystal system = trigonal
1.0
4.844 2.796 8.403
-4.844 2.796 8.403
0.000 -5.593 8.403
Cs Rb O
2 6 1
Direct
0.000 0.000 0.000 Cs
0.201 0.201 0.201 Cs
0.115 0.526 0.526 Rb
0.269 0.665 0.665 Rb
0.526 0.115 0.526 Rb
0.526 0.526 0.115 Rb
0.665 0.269 0.665 Rb
0.665 0.665 0.269 Rb
0.462 0.462 0.462 O